A plane-wave DFT calculation with PBE was carried out for Na2BiI after structural relaxation.

abc: 5.636 5.636 5.636
angles: 60.00 60.00 60.00
Last column: magnetic moment on the atom in μB.
Fractional positions:
Bi  0.500  0.500  0.500  0.15
I  0.000  0.000  0.000  0.04
Na  0.750  0.750  0.750  0.00
Na  0.250  0.250  0.250  0.00

Summary:
N(E_F)   1.372 states/eV per atom
Calculated volume   31.64 Å³ per atom
Energy above the most stable polymorph in this dataset   0.308 eV/atom



A plane-wave DFT calculation with PBE was carried out for Na2BiI after structural relaxation.

abc: 3.767 3.767 8.776
angles: 90.00 90.00 90.00
Fractional positions:
Na  0.000  0.000  0.228
Na  0.000  0.000  0.772
I  0.500  0.500  0.000
Bi  0.500  0.500  0.500

Summary:
N(E_F)   0.431 states/eV per atom
Calculated volume   31.14 Å³ per atom
Energy above the most stable polymorph in this dataset   0.000 eV/atom



We obtain formation energy without anion corrections values of -0.2969, -0.6046 eV/atom for the records listed above, in that order.